A plane-wave DFT calculation with GGA-PBE was carried out for crystalline RbTeHN2 at its relaxed geometry.

Computed properties:
The value obtained for the excess energy over the best structure of this formula in the dataset is 0.0 meV per atom. The value obtained for the volume is 17.0 Å³ per atom. The value obtained for the total magnetization is 0.477 μB per atom.

a = 4.782 Å, b = 4.782 Å, c = 3.721 Å
α = 90.00°, β = 90.00°, γ = 90.00°
Space group P4/mmm (No. 123)
Inequivalent atoms, fractional coordinates:
Rb 0.000 0.000 0.000 (multiplicity 1)
Te 0.500 0.500 0.000 (multiplicity 1)
H 0.500 0.500 0.500 (multiplicity 1)
N 0.000 0.500 0.500 (multiplicity 2)